# 1
YZrTlAg | PBE-GGA | relaxed

For the total energy, the calculation gives -0.382 Ry/atom. For the energy relative to the elements, the calculation gives -0.142 eV per atom. The calculation puts the density of states at the Fermi level at 10.1 states/eV per cell.

The space group is F-43m (No. 216) and the conventional cell measures 7.241, 7.241 and 7.241 Å, with angles of 90.00, 90.00 and 90.00 degrees. The inequivalent atoms are Y at (0.000, 0.000, 0.000), Zr at (0.000, 0.000, 0.500), Tl at (0.250, 0.250, 0.750) and Ag at (0.250, 0.250, 0.250).


# 2
Mg3BeGe | PBE-GGA | relaxed

For the total energy, the calculation gives -0.166 Ry/atom. For the energy relative to the elements, the calculation gives 0.361 eV per atom. The calculation puts the density of states at the Fermi level at 2.3 states/eV per cell. The energy above the lowest structure with this stoichiometry comes out at 0 meV/atom.

The space group is Pm-3m (No. 221) and the conventional cell measures 4.710, 4.710 and 4.710 Å, with angles of 90.00, 90.00 and 90.00 degrees. The inequivalent atoms are Mg at (0.000, 0.000, 0.500), Be at (0.000, 0.000, 0.000) and Ge at (0.500, 0.500, 0.500).


# 3
Ce2PmN3 | PBE-GGA | relaxed

The energy relative to the elements, uncorrected comes out at -8.95 eV/f.u. For the total energy, the calculation gives -0.619 Ry/atom. The calculation puts the density of states at the Fermi level at 9.8 states/eV per cell. The energy above the lowest structure with this stoichiometry comes out at 0 meV/atom.

The space group is Immm (No. 71) and the conventional cell measures 3.578, 5.072 and 10.728 Å, with angles of 90.00, 90.00 and 90.00 degrees. The inequivalent atoms are Ce at (0.000, 0.000, 0.167), Pm at (0.000, 0.000, 0.500), N at (0.000, 0.500, 0.174) and N at (0.000, 0.500, 0.500).


# 4
LaSb2Mo | PBE-GGA | relaxed

The energy relative to the elements, uncorrected comes out at -0.71 eV/f.u. For the total energy, the calculation gives -0.454 Ry/atom. The calculation puts the density of states at the Fermi level at 18.5 states/eV per cell. The energy above the lowest structure with this stoichiometry comes out at 117 meV/atom.

The space group is Fm-3m (No. 225) and the conventional cell measures 7.225, 7.225 and 7.225 Å, with angles of 90.00, 90.00 and 90.00 degrees. The inequivalent atoms are La at (0.000, 0.000, 0.000), Sb at (0.250, 0.250, 0.250) and Mo at (0.000, 0.000, 0.500).


# 5
Te4I3O2 | PBE-GGA | relaxed

The energy relative to the elements, uncorrected comes out at -1.70 eV/f.u. For the total energy, the calculation gives -0.235 Ry/atom. The calculation puts the density of states at the Fermi level at 17.2 states/eV per cell.

The space group is C2/c (No. 15) and the conventional cell measures 17.287, 12.140 and 6.336 Å, with angles of 90.00, 103.13 and 90.00 degrees. The inequivalent atoms are Te at (0.150, 0.135, 0.039), Te at (0.181, 0.419, 0.881), I at (0.000, 0.380, 0.750), I at (0.138, 0.133, 0.533) and O at (0.176, 0.297, 0.091).


# 6
ZrW | PBE-GGA | relaxed

For the total energy, the calculation gives -0.762 Ry/atom. For the energy relative to the elements, the calculation gives 0.376 eV per atom. The calculation puts the density of states at the Fermi level at 8.2 states/eV per cell.

The space group is R-3m (No. 166, hexagonal axes) and the conventional cell measures 4.3447, 4.3447 and 15.9874 Å, with angles of 90.00, 90.00 and 120.00 degrees. The inequivalent atoms are Zr at (0.0000, 0.0000, 0.1039) and W at (0.0000, 0.0000, 0.3129).